# 1
Material: Cs2SnP2
Method: DFT, PBE
State: optimized geometry

abc: 9.7705 9.7705 3.9811
angles: 90.00 90.00 90.00
Closest atoms and distances in Å follow each position.
Sites, in units of the cell vectors:
Cs1 0.2128 0.2872 0.0000  6 P 3.57-3.69, 2 Cs 3.98
Cs2 0.2872 0.7872 0.0000  6 P 3.57-3.69, 2 Cs 3.98
Cs3 0.7128 0.2128 0.0000  6 P 3.57-3.69, 2 Cs 3.98
Cs4 0.7872 0.7128 0.0000  6 P 3.57-3.69, 2 Cs 3.98
Sn1 0.0000 0.0000 0.5000  2 Sn 3.98, 8 Cs 4.02, 4 P 4.24
Sn2 0.5000 0.5000 0.5000  2 Sn 3.98, 8 Cs 4.02, 4 P 4.24
P1 0.0723 0.5723 0.5000  1 P 2.00
P2 0.4277 0.0723 0.5000  1 P 2.00
P3 0.5723 0.9277 0.5000  1 P 2.00
P4 0.9277 0.4277 0.5000  1 P 2.00

Summary:
E (eV for the cell shown): -32.7
Crystal system: tetragonal
ρ (Mg/m³): 3.90

# 2
Material: CsSn2P
Method: DFT, PBE
State: optimized geometry

abc: 5.7481 5.7481 18.8442
angles: 90.00 90.00 90.00
Closest atoms and distances in Å follow each position.
Sites, in units of the cell vectors:
Cs1 0.0000 0.0000 0.0000  4 Sn 3.72, 4 P 4.06
Cs2 0.0000 0.5000 0.2500  4 Sn 3.72, 4 P 4.06
Cs3 0.5000 0.0000 0.7500  4 Sn 3.72, 4 P 4.06
Cs4 0.5000 0.5000 0.5000  4 Sn 3.72, 4 P 4.06
Sn1 0.0657 0.2500 0.6250  2 P 2.79, 2 Sn 2.97
Sn2 0.2500 0.5657 0.8750  2 P 2.79, 2 Sn 2.97
Sn3 0.2500 0.9343 0.3750  2 P 2.79, 2 Sn 2.97
Sn4 0.4343 0.2500 0.1250  2 P 2.79, 2 Sn 2.97
Sn5 0.5657 0.7500 0.1250  2 P 2.79, 2 Sn 2.97
Sn6 0.7500 0.0657 0.3750  2 P 2.79, 2 Sn 2.97
Sn7 0.7500 0.4343 0.8750  2 P 2.79, 2 Sn 2.97
Sn8 0.9343 0.7500 0.6250  2 P 2.79, 2 Sn 2.97
P1 0.0000 0.0000 0.5000  4 Sn 2.79
P2 0.0000 0.5000 0.7500  4 Sn 2.79
P3 0.5000 0.0000 0.2500  4 Sn 2.79
P4 0.5000 0.5000 0.0000  4 Sn 2.79

Summary:
E (eV for the cell shown): -56.0
Crystal system: tetragonal
ρ (Mg/m³): 4.28

# 3
Material: Cs3SnP
Method: DFT, PBE
State: optimized geometry

abc: 8.6978 8.6978 8.8374
angles: 100.97 100.97 84.68
Closest atoms and distances in Å follow each position.
Sites, in units of the cell vectors:
Cs1 0.1163 0.7066 0.6870  1 P 3.54
Cs2 0.2934 0.8837 0.3130  1 P 3.54
Cs3 0.3113 0.3113 0.9739  2 P 3.46-3.60, 1 Sn 3.76
Cs4 0.6887 0.6887 0.0261  2 P 3.46-3.60, 1 Sn 3.76
Cs5 0.7066 0.1163 0.6870  1 P 3.54
Cs6 0.8837 0.2934 0.3130  1 P 3.54
Sn1 0.3578 0.3578 0.4121  2 P 2.57-2.59
Sn2 0.6422 0.6422 0.5879  2 P 2.57-2.59
P1 0.4734 0.4734 0.6970  2 Sn 2.57-2.59
P2 0.5266 0.5266 0.3030  2 Sn 2.57-2.59

Summary:
Offset from the most stable computed form (eV/f.u.): 0.00
E (eV for the cell shown): -26.0
Crystal system: monoclinic
ρ (Mg/m³): 2.83

# 4
Material: CsSnP
Method: DFT, PBE
State: optimized geometry

abc: 4.1473 4.1473 6.9901
angles: 90.00 90.00 120.00
Closest atoms and distances in Å follow each position.
Sites, in units of the cell vectors:
Cs1 0.0000 0.0000 0.0000  3 P 3.45
Sn1 0.3333 0.6667 0.5335  3 P 2.70
P1 0.6667 0.3333 0.3554  3 Sn 2.70

Summary:
E (eV for the cell shown): -11.2
Crystal system: trigonal
ρ (Mg/m³): 4.51

# 5
Material: Cs3SnP
Method: DFT, PBE
State: optimized geometry

abc: 6.8401 6.8401 6.8401
angles: 90.00 90.00 90.00
Closest atoms and distances in Å follow each position.
Sites, in units of the cell vectors:
Cs1 0.0000 0.0000 0.5000  2 P 3.42
Cs2 0.0000 0.5000 0.0000  2 P 3.42
Cs3 0.5000 0.0000 0.0000  2 P 3.42
Sn1 0.5000 0.5000 0.5000  12 Cs 4.84
P1 0.0000 0.0000 0.0000  6 Cs 3.42

Summary:
Offset from the most stable computed form (eV/f.u.): 1.97
E (eV for the cell shown): -11.0
Crystal system: cubic
ρ (Mg/m³): 2.85

# 6
Material: Cs2SnP
Method: DFT, PBE
State: optimized geometry

abc: 13.7163 13.7163 5.2085
angles: 90.00 90.00 90.00
Closest atoms and distances in Å follow each position.
Sites, in units of the cell vectors:
Cs1 0.0633 0.7500 0.1250  2 P 3.60
Cs2 0.2500 0.0633 0.8750  2 P 3.60
Cs3 0.2500 0.4367 0.3750  2 P 3.60
Cs4 0.4367 0.7500 0.6250  2 P 3.60
Cs5 0.5633 0.2500 0.6250  2 P 3.60
Cs6 0.7500 0.5633 0.3750  2 P 3.60
Cs7 0.7500 0.9367 0.8750  2 P 3.60
Cs8 0.9367 0.2500 0.1250  2 P 3.60
Sn1 0.0000 0.0000 0.5000  2 P 2.60
Sn2 0.0000 0.5000 0.7500  2 P 2.60
Sn3 0.5000 0.0000 0.2500  2 P 2.60
Sn4 0.5000 0.5000 0.0000  2 P 2.60
P1 0.0000 0.0000 0.0000  2 Sn 2.60
P2 0.0000 0.5000 0.2500  2 Sn 2.60
P3 0.5000 0.0000 0.7500  2 Sn 2.60
P4 0.5000 0.5000 0.5000  2 Sn 2.60

Summary:
Offset from the most stable computed form (eV/f.u.): 0.00
E (eV for the cell shown): -45.9
Crystal system: tetragonal
ρ (Mg/m³): 2.82

# 7
Material: Cs2SnP
Method: DFT, PBE
State: optimized geometry

abc: 8.7494 8.7494 8.7494
angles: 90.00 90.00 90.00
Closest atoms and distances in Å follow each position.
Sites, in units of the cell vectors:
Cs1 0.2500 0.2500 0.2500  4 Sn 3.79, 4 P 3.79
Cs2 0.2500 0.2500 0.7500  4 Sn 3.79, 4 P 3.79
Cs3 0.2500 0.7500 0.2500  4 Sn 3.79, 4 P 3.79
Cs4 0.2500 0.7500 0.7500  4 Sn 3.79, 4 P 3.79
Cs5 0.7500 0.2500 0.2500  4 Sn 3.79, 4 P 3.79
Cs6 0.7500 0.2500 0.7500  4 Sn 3.79, 4 P 3.79
Cs7 0.7500 0.7500 0.2500  4 Sn 3.79, 4 P 3.79
Cs8 0.7500 0.7500 0.7500  4 P 3.79, 4 Sn 3.79
Sn1 0.0000 0.0000 0.0000  8 Cs 3.79
Sn2 0.0000 0.5000 0.5000  8 Cs 3.79
Sn3 0.5000 0.0000 0.5000  8 Cs 3.79
Sn4 0.5000 0.5000 0.0000  8 Cs 3.79
P1 0.0000 0.0000 0.5000  8 Cs 3.79
P2 0.0000 0.5000 0.0000  8 Cs 3.79
P3 0.5000 0.0000 0.0000  8 Cs 3.79
P4 0.5000 0.5000 0.5000  8 Cs 3.79

Summary:
Offset from the most stable computed form (eV/f.u.): 1.87
E (eV for the cell shown): -38.4
Crystal system: cubic
ρ (Mg/m³): 4.12

# 8
Material: CsSnPW2
Method: DFT, PBE
State: optimized geometry

abc: 4.6358 4.6358 6.1385
angles: 90.00 90.00 90.00
Closest atoms and distances in Å follow each position.
Sites, in units of the cell vectors:
Cs1 0.0000 0.0000 0.0000  2 P 3.07, 4 Sn 3.28
Sn1 0.5000 0.5000 0.0000  4 Cs 3.28
P1 0.0000 0.0000 0.5000  4 W 2.32
W1 0.0000 0.5000 0.5000  2 P 2.32
W2 0.5000 0.0000 0.5000  2 P 2.32

Summary:
E (eV for the cell shown): -29.0
Crystal system: tetragonal
ρ (Mg/m³): 8.19

# 9
Material: CsSr3P
Method: DFT, PBE
State: optimized geometry

abc: 6.2239 6.2239 6.2239
angles: 90.00 90.00 90.00
Closest atoms and distances in Å follow each position.
Sites, in units of the cell vectors:
Cs1 0.0000 0.0000 0.0000  12 Sr 4.40
Sr1 0.0000 0.5000 0.5000  2 P 3.11
Sr2 0.5000 0.0000 0.5000  2 P 3.11
Sr3 0.5000 0.5000 0.0000  2 P 3.11
P1 0.5000 0.5000 0.5000  6 Sr 3.11

Summary:
Offset from the most stable computed form (eV/f.u.): 0.00
E (eV for the cell shown): -13.0
Crystal system: cubic
ρ (Mg/m³): 2.94

# 10
Material: Cs2SrP
Method: DFT, PBE
State: optimized geometry

abc: 8.9000 8.9000 8.9000
angles: 90.00 90.00 90.00
Closest atoms and distances in Å follow each position.
Sites, in units of the cell vectors:
Cs1 0.2500 0.2500 0.2500  4 P 3.85, 4 Sr 3.85
Cs2 0.2500 0.2500 0.7500  4 Sr 3.85, 4 P 3.85
Cs3 0.2500 0.7500 0.2500  4 Sr 3.85, 4 P 3.85
Cs4 0.2500 0.7500 0.7500  4 P 3.85, 4 Sr 3.85
Cs5 0.7500 0.2500 0.2500  4 Sr 3.85, 4 P 3.85
Cs6 0.7500 0.2500 0.7500  4 P 3.85, 4 Sr 3.85
Cs7 0.7500 0.7500 0.2500  4 P 3.85, 4 Sr 3.85
Cs8 0.7500 0.7500 0.7500  4 Sr 3.85, 4 P 3.85
Sr1 0.0000 0.0000 0.0000  8 Cs 3.85
Sr2 0.0000 0.5000 0.5000  8 Cs 3.85
Sr3 0.5000 0.0000 0.5000  8 Cs 3.85
Sr4 0.5000 0.5000 0.0000  8 Cs 3.85
P1 0.0000 0.0000 0.5000  8 Cs 3.85
P2 0.0000 0.5000 0.0000  8 Cs 3.85
P3 0.5000 0.0000 0.0000  8 Cs 3.85
P4 0.5000 0.5000 0.5000  8 Cs 3.85

Summary:
Offset from the most stable computed form (eV/f.u.): 1.83
E (eV for the cell shown): -31.0
Crystal system: cubic
ρ (Mg/m³): 3.62

# 11
Material: CsSr2P2
Method: DFT, PBE
State: optimized geometry

abc: 9.0542 9.0542 3.6120
angles: 90.00 90.00 90.00
Closest atoms and distances in Å follow each position.
Sites, in units of the cell vectors:
Cs1 0.0000 0.0000 0.0000  4 Sr 3.54, 2 Cs 3.61, 8 P 3.84
Cs2 0.5000 0.5000 0.0000  4 Sr 3.54, 2 Cs 3.61, 8 P 3.84
Sr1 0.1328 0.3672 0.0000  6 P 3.18-3.24, 1 Sr 3.40, 2 Cs 3.54
Sr2 0.3672 0.8672 0.0000  6 P 3.18-3.24, 1 Sr 3.40, 2 Cs 3.54
Sr3 0.6328 0.1328 0.0000  6 P 3.18-3.24, 1 Sr 3.40, 2 Cs 3.54
Sr4 0.8672 0.6328 0.0000  6 P 3.18-3.24, 1 Sr 3.40, 2 Cs 3.54
P1 0.1632 0.6632 0.5000  6 Sr 3.18-3.24
P2 0.3368 0.1632 0.5000  6 Sr 3.18-3.24
P3 0.6632 0.8368 0.5000  6 Sr 3.18-3.24
P4 0.8368 0.3368 0.5000  6 Sr 3.18-3.24

Summary:
Offset from the most stable computed form (eV/f.u.): 0.00
E (eV for the cell shown): -36.6
Crystal system: tetragonal
ρ (Mg/m³): 4.15

# 12
Material: CsSr2P
Method: DFT, PBE
State: optimized geometry

abc: 9.3015 9.3015 13.1630
angles: 90.00 90.00 90.00
Closest atoms and distances in Å follow each position.
Sites, in units of the cell vectors:
Cs1 0.0000 0.0000 0.0000  12 Sr 5.31-5.60, 4 P 5.70, 4 Cs 5.70
Cs2 0.0000 0.5000 0.2500  12 Sr 5.31-5.60, 4 Cs 5.70, 4 P 5.70
Cs3 0.5000 0.0000 0.7500  12 Sr 5.31-5.60, 4 P 5.70, 4 Cs 5.70
Cs4 0.5000 0.5000 0.5000  12 Sr 5.31-5.60, 4 Cs 5.70, 4 P 5.70
Sr1 0.0182 0.2500 0.6250  2 P 2.85
Sr2 0.2500 0.5182 0.8750  2 P 2.85
Sr3 0.2500 0.9818 0.3750  2 P 2.85
Sr4 0.4818 0.2500 0.1250  2 P 2.85
Sr5 0.5182 0.7500 0.1250  2 P 2.85
Sr6 0.7500 0.0182 0.3750  2 P 2.85
Sr7 0.7500 0.4818 0.8750  2 P 2.85
Sr8 0.9818 0.7500 0.6250  2 P 2.85
P1 0.0000 0.0000 0.5000  4 Sr 2.85
P2 0.0000 0.5000 0.7500  4 Sr 2.85
P3 0.5000 0.0000 0.2500  4 Sr 2.85
P4 0.5000 0.5000 0.0000  4 Sr 2.85

Summary:
E (eV for the cell shown): -43.4
Crystal system: tetragonal
ρ (Mg/m³): 1.98

# 13
Material: Cs2Sr4P
Method: DFT, PBE
State: optimized geometry

abc: 6.0372 6.0372 26.1712
angles: 90.00 90.00 90.00
Closest atoms and distances in Å follow each position.
Sites, in units of the cell vectors:
Cs1 0.0000 0.0000 0.1884  5 Sr 4.70-5.19
Cs2 0.0000 0.0000 0.8116  5 Sr 4.70-5.19
Cs3 0.5000 0.5000 0.3116  5 Sr 4.70-5.19
Cs4 0.5000 0.5000 0.6884  5 Sr 4.70-5.19
Sr1 0.0000 0.0000 0.3868  1 P 2.96
Sr2 0.0000 0.0000 0.6132  1 P 2.96
Sr3 0.0000 0.5000 0.0000  2 P 3.02
Sr4 0.0000 0.5000 0.5000  2 P 3.02
Sr5 0.5000 0.0000 0.0000  2 P 3.02
Sr6 0.5000 0.0000 0.5000  2 P 3.02
Sr7 0.5000 0.5000 0.1132  1 P 2.96
Sr8 0.5000 0.5000 0.8868  1 P 2.96
P1 0.0000 0.0000 0.5000  6 Sr 2.96-3.02
P2 0.5000 0.5000 0.0000  6 Sr 2.96-3.02

Summary:
E (eV for the cell shown): -30.4
Crystal system: tetragonal
ρ (Mg/m³): 2.25

# 14
Material: Cs2SrP
Method: DFT, PBE
State: optimized geometry

abc: 13.6630 13.6630 5.8393
angles: 90.00 90.00 90.00
Closest atoms and distances in Å follow each position.
Sites, in units of the cell vectors:
Cs1 0.0859 0.2500 0.1250  2 P 3.68
Cs2 0.2500 0.5859 0.3750  2 P 3.68
Cs3 0.2500 0.9141 0.8750  2 P 3.68
Cs4 0.4141 0.2500 0.6250  2 P 3.68
Cs5 0.5859 0.7500 0.6250  2 P 3.68
Cs6 0.7500 0.0859 0.8750  2 P 3.68
Cs7 0.7500 0.4141 0.3750  2 P 3.68
Cs8 0.9141 0.7500 0.1250  2 P 3.68
Sr1 0.0000 0.0000 0.5000  2 P 2.92
Sr2 0.0000 0.5000 0.7500  2 P 2.92
Sr3 0.5000 0.0000 0.2500  2 P 2.92
Sr4 0.5000 0.5000 0.0000  2 P 2.92
P1 0.0000 0.0000 0.0000  2 Sr 2.92
P2 0.0000 0.5000 0.2500  2 Sr 2.92
P3 0.5000 0.0000 0.7500  2 Sr 2.92
P4 0.5000 0.5000 0.5000  2 Sr 2.92

Summary:
Offset from the most stable computed form (eV/f.u.): 0.00
E (eV for the cell shown): -38.3
Crystal system: tetragonal
ρ (Mg/m³): 2.34

# 15
Material: CsSr2P2
Method: DFT, PBE
State: optimized geometry

abc: 5.3324 5.3324 12.0104
angles: 90.00 90.00 90.00
Closest atoms and distances in Å follow each position.
Sites, in units of the cell vectors:
Cs1 0.0000 0.0000 0.0000  8 Sr 4.02, 8 P 4.04
Cs2 0.5000 0.5000 0.5000  8 Sr 4.02, 8 P 4.04
Sr1 0.0000 0.5000 0.2500  4 P 3.09
Sr2 0.0000 0.5000 0.7500  4 P 3.09
Sr3 0.5000 0.0000 0.2500  4 P 3.09
Sr4 0.5000 0.0000 0.7500  4 P 3.09
P1 0.0000 0.0000 0.3799  1 P 2.88, 4 Sr 3.09
P2 0.0000 0.0000 0.6201  1 P 2.88, 4 Sr 3.09
P3 0.5000 0.5000 0.1201  1 P 2.88, 4 Sr 3.09
P4 0.5000 0.5000 0.8799  1 P 2.88, 4 Sr 3.09

Summary:
Offset from the most stable computed form (eV/f.u.): 0.59
E (eV for the cell shown): -35.4
Crystal system: tetragonal
ρ (Mg/m³): 3.60

# 16
Material: CsSr3P
Method: DFT, PBE
State: optimized geometry

abc: 6.0312 6.0312 6.0312
angles: 90.00 90.00 90.00
Closest atoms and distances in Å follow each position.
Sites, in units of the cell vectors:
Cs1 0.0000 0.0000 0.0000  6 Sr 3.02
Sr1 0.0000 0.0000 0.5000  2 Cs 3.02
Sr2 0.0000 0.5000 0.0000  2 Cs 3.02
Sr3 0.5000 0.0000 0.0000  2 Cs 3.02
P1 0.5000 0.5000 0.5000  12 Sr 4.26

Summary:
Offset from the most stable computed form (eV/f.u.): 7.79
E (eV for the cell shown): -5.2
Crystal system: cubic
ρ (Mg/m³): 3.23

# 17
Material: Cs2TaP2
Method: DFT, PBE
State: optimized geometry

abc: 3.3813 3.3813 25.6506
angles: 90.00 90.00 90.00
Closest atoms and distances in Å follow each position.
Sites, in units of the cell vectors:
Cs1 0.0000 0.0000 0.1278  4 Cs 3.38, 4 P 3.56
Cs2 0.0000 0.0000 0.8722  4 Cs 3.38, 4 P 3.56
Cs3 0.5000 0.5000 0.3722  4 Cs 3.38, 4 P 3.56
Cs4 0.5000 0.5000 0.6278  4 Cs 3.38, 4 P 3.56
Ta1 0.0000 0.0000 0.5000  4 Ta 3.38
Ta2 0.5000 0.5000 0.0000  4 Ta 3.38
P1 0.0000 0.5000 0.2500  4 P 2.39
P2 0.0000 0.5000 0.7500  4 P 2.39
P3 0.5000 0.0000 0.2500  4 P 2.39
P4 0.5000 0.0000 0.7500  4 P 2.39

Summary:
Offset from the most stable computed form (eV/f.u.): 0.00
E (eV for the cell shown): -39.4
Crystal system: tetragonal
ρ (Mg/m³): 5.76

# 18
Material: CsTa3P
Method: DFT, PBE
State: optimized geometry

abc: 5.0254 5.0254 5.0254
angles: 90.00 90.00 90.00
Closest atoms and distances in Å follow each position.
Sites, in units of the cell vectors:
Cs1 0.0000 0.0000 0.0000  6 Ta 2.51
Ta1 0.0000 0.0000 0.5000  2 Cs 2.51
Ta2 0.0000 0.5000 0.0000  2 Cs 2.51
Ta3 0.5000 0.0000 0.0000  2 Cs 2.51
P1 0.5000 0.5000 0.5000  12 Ta 3.55

Summary:
Offset from the most stable computed form (eV/f.u.): 10.88
E (eV for the cell shown): -24.9
Crystal system: cubic
ρ (Mg/m³): 9.25

# 19
Material: CsTa3P
Method: DFT, PBE
State: optimized geometry

abc: 4.8286 4.8286 4.8286
angles: 90.00 90.00 90.00
Closest atoms and distances in Å follow each position.
Sites, in units of the cell vectors:
Cs1 0.0000 0.0000 0.0000  12 Ta 3.41
Ta1 0.0000 0.5000 0.5000  2 P 2.41
Ta2 0.5000 0.0000 0.5000  2 P 2.41
Ta3 0.5000 0.5000 0.0000  2 P 2.41
P1 0.5000 0.5000 0.5000  6 Ta 2.41

Summary:
Offset from the most stable computed form (eV/f.u.): 0.00
E (eV for the cell shown): -35.8
Crystal system: cubic
ρ (Mg/m³): 10.42

# 20
Material: Cs2TaP2
Method: DFT, PBE
State: optimized geometry

abc: 9.9918 9.9918 3.1652
angles: 90.00 90.00 90.00
Closest atoms and distances in Å follow each position.
Sites, in units of the cell vectors:
Cs1 0.1219 0.3781 0.0000  3 Cs 3.17-3.44, 6 P 3.23-3.44
Cs2 0.3781 0.8781 0.0000  3 Cs 3.17-3.44, 6 P 3.23-3.44
Cs3 0.6219 0.1219 0.0000  3 Cs 3.17-3.44, 6 P 3.23-3.44
Cs4 0.8781 0.6219 0.0000  3 Cs 3.17-3.44, 6 P 3.23-3.44
Ta1 0.0000 0.0000 0.0000  2 Ta 3.17
Ta2 0.5000 0.5000 0.0000  2 Ta 3.17
P1 0.1787 0.6787 0.5000  2 P 3.17, 6 Cs 3.23-3.44
P2 0.3213 0.1787 0.5000  2 P 3.17, 6 Cs 3.23-3.44
P3 0.6787 0.8213 0.5000  2 P 3.17, 6 Cs 3.23-3.44
P4 0.8213 0.3213 0.5000  2 P 3.17, 6 Cs 3.23-3.44

Summary:
Offset from the most stable computed form (eV/f.u.): 2.42
E (eV for the cell shown): -34.5
Crystal system: tetragonal
ρ (Mg/m³): 5.35